Record 1
Computed, not measured: crystalline Zn2Cu7Ge2 at its relaxed geometry at the PBE-GGA level of DFT.

a = 4.785 Å, b = 4.785 Å, c = 7.172 Å
α = 91.43°, β = 91.43°, γ = 115.45°
Element x y z (fractional)
1 Zn 0.228 0.772 0.000
2 Zn 0.772 0.228 0.000
3 Cu 0.090 0.644 0.652
4 Cu 0.335 0.335 0.139
5 Cu 0.356 0.910 0.348
6 Cu 0.500 0.500 0.500
7 Cu 0.644 0.090 0.652
8 Cu 0.665 0.665 0.861
9 Cu 0.910 0.356 0.348
10 Ge 0.178 0.178 0.753
11 Ge 0.822 0.822 0.247


Record 2
Computed, not measured: crystalline ZnCu4Ge at its relaxed geometry at the PBE-GGA level of DFT.

Output
Relative energy among the computed polymorphs   0 meV/atom

a = 8.905 Å, b = 8.905 Å, c = 5.002 Å
α = 90.00°, β = 90.00°, γ = 155.28°
Element x y z (fractional)
1 Zn 0.226 0.774 0.750
2 Zn 0.774 0.226 0.250
3 Cu 0.075 0.925 0.750
4 Cu 0.351 0.649 0.004
5 Cu 0.351 0.649 0.496
6 Cu 0.500 0.500 0.000
7 Cu 0.500 0.500 0.500
8 Cu 0.649 0.351 0.504
9 Cu 0.649 0.351 0.996
10 Cu 0.925 0.075 0.250
11 Ge 0.083 0.917 0.250
12 Ge 0.917 0.083 0.750


Record 3
Computed, not measured: crystalline ZnCu2Ge2 at its relaxed geometry at the PBE-GGA level of DFT.

Output
Relative energy among the computed polymorphs   33 meV/atom

a = 3.817 Å, b = 3.817 Å, c = 11.187 Å
α = 90.00°, β = 90.00°, γ = 90.00°
Element x y z (fractional)
1 Zn 0.000 0.000 0.000
2 Zn 0.500 0.500 0.500
3 Cu 0.000 0.500 0.250
4 Cu 0.000 0.500 0.750
5 Cu 0.500 0.000 0.250
6 Cu 0.500 0.000 0.750
7 Ge 0.000 0.000 0.390
8 Ge 0.000 0.000 0.610
9 Ge 0.500 0.500 0.110
10 Ge 0.500 0.500 0.890


Number 1: spin magnetization 0.00 μB per cell, formation energy 34 kJ/mol of formula units. Number 2: spin magnetization 0.00 μB per cell, formation energy 20 kJ/mol of formula units. Number 3: spin magnetization 0.00 μB per cell, formation energy 104 kJ/mol of formula units.